1.
# Y3Sb4Au3 GGA-PBEsol relaxed
data_Y3Sb4Au3
_chemical_formula_sum 'Y6 Sb8 Au6'
_cell_length_a 8.4801
_cell_length_b 8.4801
_cell_length_c 8.4801
_cell_angle_alpha 109.47
_cell_angle_beta 109.47
_cell_angle_gamma 109.47
_space_group_name_H-M_alt 'P 1'
_space_group_IT_number 1
_space_group_name_Hall 'P 1'
loop_
_atom_site_label
_atom_site_type_symbol
_atom_site_fract_x
_atom_site_fract_y
_atom_site_fract_z
_atom_site_occupancy
Sb1 Sb 0.6780 0.0000 0.0000 1
Sb2 Sb 0.0000 0.5000 0.1780 1
Sb3 Sb 0.8220 0.8220 0.3220 1
Sb4 Sb 0.1780 0.0000 0.0000 1
Sb5 Sb 0.5000 0.6780 0.5000 1
Sb6 Sb 0.5000 0.1780 0.5000 1
Sb7 Sb 0.0000 0.5000 0.6780 1
Sb8 Sb 0.3220 0.3220 0.8220 1
Au1 Au 0.8750 0.7500 0.6250 1
Au2 Au 0.6250 0.2500 0.8750 1
Au3 Au 0.1250 0.8750 0.2500 1
Au4 Au 0.2500 0.3750 0.1250 1
Au5 Au 0.7500 0.1250 0.3750 1
Au6 Au 0.3750 0.6250 0.7500 1
Y1 Y 0.2500 0.8750 0.6250 1
Y2 Y 0.3750 0.7500 0.1250 1
Y3 Y 0.7500 0.6250 0.8750 1
Y4 Y 0.1250 0.2500 0.3750 1
Y5 Y 0.8750 0.1250 0.7500 1
Y6 Y 0.6250 0.3750 0.2500 1
# * ΔE_f (raw): -0.887 eV/atom

2.
# ZnCu3P4O14 GGA-PBEsol relaxed
data_ZnCu3P4O14
_chemical_formula_sum 'Zn2 Cu6 P8 O28'
_cell_length_a 7.0707
_cell_length_b 7.7879
_cell_length_c 9.2482
_cell_angle_alpha 90.00
_cell_angle_beta 107.28
_cell_angle_gamma 90.00
_space_group_name_H-M_alt 'P 1'
_space_group_IT_number 1
_space_group_name_Hall 'P 1'
loop_
_atom_site_label
_atom_site_type_symbol
_atom_site_fract_x
_atom_site_fract_y
_atom_site_fract_z
_atom_site_occupancy
Zn1 Zn 0.5000 0.0000 0.0000 1
Zn2 Zn 0.5000 0.5000 0.5000 1
O1 O 0.0272 0.7875 0.1260 1
O2 O 0.6487 0.4867 0.8564 1
O3 O 0.9939 0.0962 0.6221 1
O4 O 0.0272 0.7125 0.6260 1
O5 O 0.1521 0.8940 0.8748 1
O6 O 0.3575 0.4266 0.6279 1
O7 O 0.3458 0.1822 0.3803 1
O8 O 0.3458 0.3178 0.8803 1
O9 O 0.0061 0.9038 0.3779 1
O10 O 0.9728 0.2875 0.3740 1
O11 O 0.8479 0.3940 0.6252 1
O12 O 0.6542 0.6822 0.1197 1
O13 O 0.3575 0.0734 0.1279 1
O14 O 0.6425 0.5734 0.3721 1
O15 O 0.6425 0.9266 0.8721 1
O16 O 0.3341 0.8592 0.3282 1
O17 O 0.9939 0.4038 0.1221 1
O18 O 0.3513 0.5133 0.1436 1
O19 O 0.6487 0.0133 0.3564 1
O20 O 0.9728 0.2125 0.8740 1
O21 O 0.1521 0.6060 0.3748 1
O22 O 0.0061 0.5962 0.8779 1
O23 O 0.6659 0.1408 0.6718 1
O24 O 0.6659 0.3592 0.1718 1
O25 O 0.3513 0.9867 0.6436 1
O26 O 0.8479 0.1060 0.1252 1
O27 O 0.6542 0.8178 0.6197 1
O28 O 0.3341 0.6408 0.8282 1
P1 P 0.8845 0.2160 0.6981 1
P2 P 0.1155 0.7840 0.3019 1
P3 P 0.4284 0.4595 0.8019 1
P4 P 0.5716 0.9595 0.6981 1
P5 P 0.8845 0.2840 0.1981 1
P6 P 0.4284 0.0405 0.3019 1
P7 P 0.1155 0.7160 0.8019 1
P8 P 0.5716 0.5405 0.1981 1
Cu1 Cu 0.1723 0.1355 0.5031 1
Cu2 Cu 0.1723 0.3645 0.0031 1
Cu3 Cu 0.8277 0.8645 0.4969 1
Cu4 Cu 0.0000 0.5000 0.5000 1
Cu5 Cu 0.8277 0.6355 0.9969 1
Cu6 Cu 0.0000 0.0000 0.0000 1
# * ΔE_f (raw): -1.637 eV/atom

3.
# GaOs3C GGA-PBEsol relaxed
data_GaOs3C
_chemical_formula_sum 'Ga1 Os3 C1'
_cell_length_a 4.4531
_cell_length_b 4.4531
_cell_length_c 4.4531
_cell_angle_alpha 90.00
_cell_angle_beta 90.00
_cell_angle_gamma 90.00
_space_group_name_H-M_alt 'P 1'
_space_group_IT_number 1
_space_group_name_Hall 'P 1'
loop_
_atom_site_label
_atom_site_type_symbol
_atom_site_fract_x
_atom_site_fract_y
_atom_site_fract_z
_atom_site_occupancy
Os1 Os 0.0000 0.0000 0.5000 1
Os2 Os 0.0000 0.5000 0.0000 1
Os3 Os 0.5000 0.0000 0.0000 1
C1 C 0.5000 0.5000 0.5000 1
Ga1 Ga 0.0000 0.0000 0.0000 1
# * E_form: 3.50 eV/atom

4.
# LaFeCl GGA-PBEsol relaxed
data_LaFeCl
_chemical_formula_sum 'La1 Fe1 Cl1'
_cell_length_a 4.7774
_cell_length_b 4.7774
_cell_length_c 4.7774
_cell_angle_alpha 60.00
_cell_angle_beta 60.00
_cell_angle_gamma 60.00
_space_group_name_H-M_alt 'P 1'
_space_group_IT_number 1
_space_group_name_Hall 'P 1'
loop_
_atom_site_label
_atom_site_type_symbol
_atom_site_fract_x
_atom_site_fract_y
_atom_site_fract_z
_atom_site_occupancy
Cl1 Cl 0.0000 0.0000 0.0000 1
La1 La 0.2500 0.2500 0.2500 1
Fe1 Fe 0.5000 0.5000 0.5000 1
# * ΔE_f (raw): 0.096 eV/atom

5.
# KTaTc2 GGA-PBEsol relaxed
data_KTaTc2
_chemical_formula_sum 'K1 Ta1 Tc2'
_cell_length_a 2.9656
_cell_length_b 5.1770
_cell_length_c 5.5333
_cell_angle_alpha 117.89
_cell_angle_beta 105.54
_cell_angle_gamma 90.00
_space_group_name_H-M_alt 'P 1'
_space_group_IT_number 1
_space_group_name_Hall 'P 1'
loop_
_atom_site_label
_atom_site_type_symbol
_atom_site_fract_x
_atom_site_fract_y
_atom_site_fract_z
_atom_site_occupancy
Tc1 Tc 0.2738 0.2738 0.5477 1
Tc2 Tc 0.7262 0.7262 0.4523 1
Ta1 Ta 0.0000 0.5000 0.0000 1
K1 K 0.5000 0.0000 0.0000 1
# * relative energy among the computed polymorphs: 663 meV/atom
# * E_form: 1.26 eV/atom

6.
# VHgSe2 GGA-PBEsol relaxed
data_VHgSe2
_chemical_formula_sum 'V1 Hg1 Se2'
_cell_length_a 3.2543
_cell_length_b 3.2543
_cell_length_c 9.0027
_cell_angle_alpha 90.00
_cell_angle_beta 90.00
_cell_angle_gamma 119.82
_space_group_name_H-M_alt 'P 1'
_space_group_IT_number 1
_space_group_name_Hall 'P 1'
loop_
_atom_site_label
_atom_site_type_symbol
_atom_site_fract_x
_atom_site_fract_y
_atom_site_fract_z
_atom_site_occupancy
Se1 Se 0.5367 0.4633 0.3235 1
Se2 Se 0.5367 0.4633 0.6765 1
Hg1 Hg 0.1903 0.8097 0.0000 1
V1 V 0.8702 0.1298 0.5000 1
# * ΔE_f (raw): -0.534 eV/atom

7.
# ZrSc GGA-PBEsol relaxed
data_ZrSc
_chemical_formula_sum 'Zr2 Sc2'
_cell_length_a 3.1207
_cell_length_b 4.8540
_cell_length_c 6.1018
_cell_angle_alpha 90.00
_cell_angle_beta 104.82
_cell_angle_gamma 90.00
_space_group_name_H-M_alt 'P 1'
_space_group_IT_number 1
_space_group_name_Hall 'P 1'
loop_
_atom_site_label
_atom_site_type_symbol
_atom_site_fract_x
_atom_site_fract_y
_atom_site_fract_z
_atom_site_occupancy
Sc1 Sc 0.4341 0.2500 0.8682 1
Sc2 Sc 0.5659 0.7500 0.1318 1
Zr1 Zr 0.1797 0.2500 0.3593 1
Zr2 Zr 0.8203 0.7500 0.6407 1
# * E_form: 0.03 eV/atom

8.
# Zr2BeOs GGA-PBEsol relaxed
data_Zr2BeOs
_chemical_formula_sum 'Zr2 Be1 Os1'
_cell_length_a 3.1012
_cell_length_b 4.5571
_cell_length_c 5.0909
_cell_angle_alpha 104.90
_cell_angle_beta 107.73
_cell_angle_gamma 90.00
_space_group_name_H-M_alt 'P 1'
_space_group_IT_number 1
_space_group_name_Hall 'P 1'
loop_
_atom_site_label
_atom_site_type_symbol
_atom_site_fract_x
_atom_site_fract_y
_atom_site_fract_z
_atom_site_occupancy
Be1 Be 0.5308 0.4933 0.0616 1
Os1 Os 0.2090 0.7346 0.4180 1
Zr1 Zr 0.9910 0.9806 0.9820 1
Zr2 Zr 0.7692 0.2915 0.5384 1
# * E_form: -0.13 eV/atom

9.
# NbTeMo3 GGA-PBEsol relaxed
data_NbTeMo3
_chemical_formula_sum 'Nb1 Te1 Mo3'
_cell_length_a 4.7549
_cell_length_b 4.7549
_cell_length_c 4.7549
_cell_angle_alpha 90.00
_cell_angle_beta 90.00
_cell_angle_gamma 90.00
_space_group_name_H-M_alt 'P 1'
_space_group_IT_number 1
_space_group_name_Hall 'P 1'
loop_
_atom_site_label
_atom_site_type_symbol
_atom_site_fract_x
_atom_site_fract_y
_atom_site_fract_z
_atom_site_occupancy
Mo1 Mo 0.0000 0.5000 0.0000 1
Mo2 Mo 0.5000 0.0000 0.0000 1
Mo3 Mo 0.0000 0.0000 0.5000 1
Te1 Te 0.0000 0.0000 0.0000 1
Nb1 Nb 0.5000 0.5000 0.5000 1
# * ΔE_f (raw): 1.969 eV/atom

10.
# ZnMoN2 GGA-PBEsol relaxed
data_ZnMoN2
_chemical_formula_sum 'Zn2 Mo2 N4'
_cell_length_a 2.8969
_cell_length_b 2.8969
_cell_length_c 11.4096
_cell_angle_alpha 90.00
_cell_angle_beta 90.00
_cell_angle_gamma 120.00
_space_group_name_H-M_alt 'P 1'
_space_group_IT_number 1
_space_group_name_Hall 'P 1'
loop_
_atom_site_label
_atom_site_type_symbol
_atom_site_fract_x
_atom_site_fract_y
_atom_site_fract_z
_atom_site_occupancy
Zn1 Zn 0.3333 0.6667 0.1624 1
Zn2 Zn 0.6667 0.3333 0.6624 1
N1 N 0.6667 0.3333 0.2766 1
N2 N 0.3333 0.6667 0.7766 1
N3 N 0.3333 0.6667 0.9979 1
N4 N 0.6667 0.3333 0.4979 1
Mo1 Mo 0.6667 0.3333 0.8921 1
Mo2 Mo 0.3333 0.6667 0.3921 1
# * ΔE_f (raw): -0.478 eV/atom

11.
# CaTlH2 GGA-PBEsol relaxed
data_CaTlH2
_chemical_formula_sum 'Ca1 Tl1 H2'
_cell_length_a 4.3787
_cell_length_b 4.3787
_cell_length_c 4.3787
_cell_angle_alpha 60.00
_cell_angle_beta 60.00
_cell_angle_gamma 60.00
_space_group_name_H-M_alt 'P 1'
_space_group_IT_number 1
_space_group_name_Hall 'P 1'
loop_
_atom_site_label
_atom_site_type_symbol
_atom_site_fract_x
_atom_site_fract_y
_atom_site_fract_z
_atom_site_occupancy
Ca1 Ca 0.0000 0.0000 0.0000 1
H1 H 0.7500 0.7500 0.7500 1
H2 H 0.2500 0.2500 0.2500 1
Tl1 Tl 0.5000 0.5000 0.5000 1
# * relative energy among the computed polymorphs: 108 meV/atom